# VBr | the Alexandria database | PBE | relaxed
data_VBr
_chemical_formula_sum 'V8 Br8'
_cell_length_a 7.9415
_cell_length_b 7.9415
_cell_length_c 7.9415
_cell_angle_alpha 90.00
_cell_angle_beta 90.00
_cell_angle_gamma 90.00
_symmetry_space_group_name_H-M 'I -4 3 m'
_symmetry_Int_Tables_number 217
_symmetry_space_group_name_Hall 'I -4 2 3'
loop_
_atom_site_label
_atom_site_type_symbol
_atom_site_fract_x
_atom_site_fract_y
_atom_site_fract_z
V1 V 0.1025 0.1025 0.1025
Br1 Br 0.2029 0.2029 0.7971
# Magnetization, μB/cell: 4.1
# Formation energy (no corrections), eV per atom: 0.044
# DOS at the Fermi energy, states/eV per atom: 0.97